The following is a PBE-GGA calculation of a relaxed structure of YFeTc2, from Alexandria.

## Properties
As for the space group: R3m (160). The value obtained for the formation energy is 1.95 eV per formula unit. As for the density of states at the Fermi level: 4.0 states/eV per cell. The polymorph energy (0 for the lowest one) is 342 meV per atom. As for the total energy: -8.43 eV per atom.

a b c (Å): 9.458 9.458 9.458
angles (deg): 17.52 17.52 17.52
Each line ends with the local moment (μB).
Atoms (fractional coordinates):
Fe1 0.257 0.257 0.257  2.60
Tc1 0.000 0.000 0.000  0.06
Tc2 0.740 0.740 0.740  -0.02
Y1 0.503 0.503 0.503  -0.04